Entry 1:
Entry from Alexandria via LeMat-Bulk: a relaxed structure of ZnCu3Ni4 (PBE).

extended XYZ file:
```
16
Lattice="4.855 0.000 0.000 0.000 8.235 0.000 0.000 0.000 4.774" Properties=species:S:1:pos:R:3 pbc="T T T"
Zn 0.000 0.000 0.000
Zn 2.427 4.117 2.387
Cu 0.000 2.072 1.218
Cu 0.000 4.117 2.432
Cu 0.000 6.162 1.218
Cu 2.427 0.000 0.045
Cu 2.427 2.045 3.605
Cu 2.427 6.190 3.605
Ni 0.000 2.064 3.604
Ni 0.000 6.171 3.604
Ni 1.209 4.117 0.016
Ni 1.219 0.000 2.403
Ni 2.427 2.053 1.216
Ni 2.427 6.182 1.216
Ni 3.636 0.000 2.403
Ni 3.646 4.117 0.016
```

Properties
energy relative to the elements: 0.126 eV per atom

Entry 2:
Entry from Alexandria via LeMat-Bulk: a relaxed structure of ThAl4Cu8 (PBE).

extended XYZ file:
```
13
Lattice="-4.334 4.334 2.540 4.334 -4.334 2.540 4.334 4.334 -2.540" Properties=species:S:1:pos:R:3 pbc="T T T"
Th 0.000 0.000 0.000
Al 2.167 2.167 -1.270
Al 2.167 -2.167 1.270
Al -2.167 2.167 1.270
Al 2.167 2.167 1.270
Cu 3.050 0.000 0.000
Cu 5.618 0.000 0.000
Cu 4.334 2.417 0.000
Cu 0.000 3.050 0.000
Cu 2.417 4.334 0.000
Cu 1.917 0.000 2.540
Cu 0.000 5.618 0.000
Cu 0.000 1.917 2.540
```

Properties
energy relative to the elements: -0.224 eV per atom

Entry 3:
Entry from Alexandria via LeMat-Bulk: a relaxed structure of Ac2Cu5Au (PBE).

extended XYZ file:
```
16
Lattice="6.205 0.000 0.000 0.000 6.205 0.000 0.000 0.000 9.317" Properties=species:S:1:pos:R:3 pbc="T T T"
Ac 0.000 3.103 0.000
Ac 0.000 3.103 4.658
Ac 3.103 0.000 0.000
Ac 3.103 0.000 4.658
Cu 0.000 0.000 3.905
Cu 1.274 1.274 2.279
Cu 1.274 4.931 2.279
Cu 1.829 1.829 6.937
Cu 1.829 4.376 6.937
Cu 3.103 3.103 8.563
Cu 4.376 1.829 6.937
Cu 4.376 4.376 6.937
Cu 4.931 1.274 2.279
Cu 4.931 4.931 2.279
Au 0.000 0.000 6.516
Au 3.103 3.103 1.857
```

Properties
energy relative to the elements: -0.085 eV per atom

Entry 4:
Entry from Alexandria via LeMat-Bulk: a relaxed structure of RbTcO2 (PBE).

extended XYZ file:
```
12
Lattice="3.272 0.000 0.000 -1.636 2.834 0.000 0.000 0.000 22.282" Properties=species:S:1:pos:R:3 pbc="T T T"
Rb 0.000 0.000 0.000
Rb 0.000 1.889 14.855
Rb 1.636 0.945 7.427
Tc 0.000 0.000 11.141
Tc 0.000 1.889 3.714
Tc 1.636 0.945 18.569
O 0.000 0.000 9.371
O 0.000 0.000 12.911
O 0.000 1.889 1.944
O 0.000 1.889 5.484
O 1.636 0.945 16.799
O 1.636 0.945 20.339
```

Properties
ΔE_f (raw): -900 meV/atom